DFT (PBE+U) results for Co2BiPtO after structural relaxation.

Values from the calculation:
total magnetization: 5.027 Bohr magnetons per cell
final energy: -19.97 eV per cell

Unit cell a=4.759 b=5.253 c=4.759 alpha=90.00 beta=90.00 gamma=90.00
Element x y z (fractional)
1 Co 0.000 0.000 0.500
2 Co 0.500 0.000 0.000
3 O 0.500 0.500 0.500
4 Pt 0.000 0.000 0.000
5 Bi 0.000 0.500 0.000